Entry 1:
Entry from Alexandria: a relaxed structure of Dy5ThSe6 (PBE).

```
Dy5ThSe6
1.0
-5.052 2.163 -4.520
2.497 -6.656 -0.317
-3.836 -0.443 5.963
Se Dy Th
6 5 1
Cartesian
-3.471 -5.180 1.558
-2.921 0.245 -0.432
-6.049 -2.169 0.123
-3.521 -1.484 3.211
-0.343 -2.767 1.003
-2.870 -3.451 -2.085
-0.658 -5.432 1.975
-2.535 -0.778 -3.118
-5.733 0.497 -0.850
-3.196 -2.468 0.563
-0.020 -3.715 -1.719
0.000 0.000 0.000
```

Crystal system: monoclinic
ρ, Mg/m³: 8.6
Space-group type: C2/m, No. 12
Magnetization, μB/cell: 0.0
VASP energy, eV/atom: -5.981


Entry 2:
Entry from Alexandria: a relaxed structure of Dy3Th4Se8 (PBE).

```
Dy3Th4Se8
1.0
6.901 0.000 3.722
2.447 6.453 3.722
-0.527 -0.364 9.236
Dy Th Se
3 4 8
Cartesian
-0.263 -0.182 4.618
3.187 -0.182 6.479
0.960 3.045 6.479
6.061 4.184 5.280
4.411 3.045 8.340
2.760 1.905 11.400
0.000 0.000 0.000
6.800 4.694 12.168
6.863 4.738 8.035
5.606 1.423 6.123
3.318 4.738 6.123
3.215 4.666 10.557
1.958 1.351 8.645
5.503 1.351 10.557
2.021 1.395 4.512
```

Crystal system: trigonal
ρ, Mg/m³: 7.9
Space-group type: R-3m, No. 166
Magnetization, μB/cell: 0.0
VASP energy, eV/atom: -6.123


Entry 3:
Entry from Alexandria: a relaxed structure of Dy5Th3Se8 (PBE).

```
Dy5Th3Se8
1.0
7.045 0.000 4.036
2.367 6.636 4.036
-0.123 -0.087 8.383
Th Se Dy
3 8 5
Cartesian
1.122 3.275 6.209
-0.062 -0.043 4.191
3.461 -0.043 6.209
3.574 4.959 6.084
5.715 1.590 10.370
2.255 1.590 8.388
3.417 4.849 10.370
2.373 1.673 4.025
5.872 1.701 6.084
7.034 4.959 8.066
6.917 4.876 12.428
3.523 0.000 2.018
4.645 3.275 8.227
0.000 0.000 0.000
1.183 3.318 2.018
4.706 3.318 4.036
```

Crystal system: trigonal
ρ, Mg/m³: 9.0
Space-group type: R-3m, No. 166
Magnetization, μB/cell: 0.0
VASP energy, eV/atom: -6.234


Entry 4:
Entry from Alexandria: a relaxed structure of Dy4Th3Se8 (PBE).

```
Dy4Th3Se8
1.0
-3.860 -0.799 7.249
-1.710 -5.191 -6.184
8.010 -1.882 -0.643
Se Th Dy
8 3 4
Cartesian
5.558 -2.717 -2.041
-2.272 -2.546 5.506
-1.257 -4.779 -1.201
3.697 -3.093 1.623
0.742 -4.356 -4.786
2.827 -5.708 -1.551
-0.388 -2.165 1.973
4.712 -5.326 -5.085
2.075 -1.341 3.303
-2.785 -2.995 0.532
1.220 -3.936 0.211
4.005 -0.941 -0.322
-0.855 -2.595 -3.092
-1.930 -0.400 3.624
0.000 0.000 0.000
```

Crystal system: monoclinic
ρ, Mg/m³: 8.3
Space-group type: C2/m, No. 12
Magnetization, μB/cell: 0.0
VASP energy, eV/atom: -6.283


Entry 5:
Entry from Alexandria: a relaxed structure of DyThSe3 (PBE).

```
DyThSe3
1.0
4.142 0.000 0.000
0.000 7.790 0.000
0.000 0.000 15.819
Se Dy Th
12 4 4
Cartesian
3.107 6.572 3.496
1.036 3.959 1.686
1.036 0.064 6.223
1.036 5.112 11.405
3.107 0.958 1.036
3.107 2.677 4.414
1.036 6.831 14.783
3.107 3.831 14.133
1.036 2.936 8.946
3.107 4.853 6.873
3.107 7.725 9.596
1.036 1.218 12.323
3.107 1.840 7.220
1.036 2.055 15.130
3.107 5.735 0.689
1.036 5.950 8.598
1.036 4.852 4.657
3.107 2.937 11.161
1.036 0.958 3.252
3.107 6.832 12.567
```

Crystal system: orthorhombic
ρ, Mg/m³: 8.2
ΔE to the lowest computed polymorph, eV/atom: 0.0000
Space-group type: Pnma, No. 62
Magnetization, μB/cell: 0.0


Entry 6:
Entry from Alexandria: a relaxed structure of DyThSe3 (PBE).

```
DyThSe3
1.0
-2.849 -3.060 0.537
4.698 -4.854 -2.735
5.185 -0.276 9.395
Se Dy Th
6 2 2
Cartesian
3.548 -5.631 3.283
2.634 -1.679 4.409
3.142 -4.546 7.310
4.520 -4.293 -0.479
0.851 -3.489 1.177
6.968 -5.512 5.563
5.761 -7.554 4.065
3.534 -2.972 1.815
4.452 -6.934 0.652
4.873 -3.623 5.211
```

Crystal system: orthorhombic
ρ, Mg/m³: 6.5
ΔE to the lowest computed polymorph, eV/atom: 0.1207
Space-group type: Cmc2_1, No. 36
Magnetization, μB/cell: 0.6